Below is a crystal of TlIn2 relaxed with PBEsol, with properties calculated at the meta-GGA SCAN level.

abc: 5.7316 5.7316 5.7316
angles: 147.30 128.68 62.19
With the nearest neighbours (Å) after each atom.
Fractional coordinates of all 3 atoms:
Tl  0.0000  0.0000  0.0000  2 Tl 3.23, 10 In 3.26-3.39
In  0.3319  0.3319  0.0000  7 In 3.23-3.37, 5 Tl 3.26-3.39
In  0.6681  0.6681  0.0000  7 In 3.23-3.37, 5 Tl 3.26-3.39

Properties
Calculated total energy (eV per formula unit): -138.9
SG: Immm
Relative energy among the computed polymorphs (meV/atom): 18.9
ΔE_f (eV/atom): 0.0627